Record 1
19
Lattice="4.8535 2.8022 4.8374 -4.8535 2.8022 4.8374 0.0000 -5.6043 4.8374" Properties=species:S:1:pos:R:3 comment="Li2Ac2Ag15 PBE-GGA relaxed" space_group=R-3m dos_at_fermi_per_ev_cell=9.1 final_energy_ev_per_cell=-57.55 pbc="T T T"
Li 0.0000 0.0000 1.3631
Li 0.0000 0.0000 13.1492
Ac 0.0000 0.0000 5.0155
Ac 0.0000 0.0000 9.4968
Ag -4.8535 0.0000 7.2562
Ag -1.4462 -3.0993 4.8374
Ag -2.4267 1.4011 2.4187
Ag -3.4072 0.2972 4.8374
Ag -2.4225 -1.3987 7.0697
Ag 1.4462 -3.0993 4.8374
Ag -1.9610 2.8022 4.8374
Ag 0.0000 -2.7973 7.4426
Ag -2.4225 1.3987 7.4426
Ag 2.4267 1.4011 2.4187
Ag 2.4225 -1.3986 7.0697
Ag 0.0000 2.7973 7.0697
Ag 3.4072 0.2972 4.8375
Ag 1.9610 2.8022 4.8375
Ag 2.4225 1.3986 7.4426

Record 2
16
Lattice="7.6146 0.0000 0.0000 0.0000 7.6146 0.0000 0.0000 0.0000 7.6146" Properties=species:S:1:pos:R:3 comment="LiAcLuAg PBE-GGA relaxed" space_group=F-43m dos_at_fermi_per_ev_cell=16.2 final_energy_ev_per_cell=-54.17 pbc="T T T"
Li 0.0000 0.0000 0.0000
Li 0.0000 3.8073 3.8073
Li 3.8073 0.0000 3.8073
Li 3.8073 3.8073 0.0000
Ac 1.9037 1.9037 5.7110
Ac 1.9037 5.7110 1.9037
Ac 5.7110 1.9037 1.9037
Ac 5.7110 5.7110 5.7110
Lu 1.9037 1.9037 1.9037
Lu 1.9037 5.7110 5.7110
Lu 5.7110 1.9037 5.7110
Lu 5.7110 5.7110 1.9037
Ag 0.0000 0.0000 3.8073
Ag 0.0000 3.8073 0.0000
Ag 3.8073 0.0000 0.0000
Ag 3.8073 3.8073 3.8073

Record 3
12
Lattice="5.3399 0.0000 0.0000 0.0000 5.3399 0.0000 0.0000 0.0000 11.3022" Properties=species:S:1:pos:R:3 comment="LiAcMg2Ag2 PBE-GGA relaxed" space_group=I4/mmm dos_at_fermi_per_ev_cell=8.3 final_energy_ev_per_cell=-29.66 pbc="T T T"
Li 0.0000 0.0000 0.0000
Li 2.6699 2.6699 5.6511
Ac 0.0000 0.0000 5.6511
Ac 2.6699 2.6699 0.0000
Mg 0.0000 2.6699 2.8256
Mg 0.0000 2.6699 8.4767
Mg 2.6699 0.0000 2.8256
Mg 2.6699 0.0000 8.4767
Ag 0.0000 0.0000 2.4382
Ag 0.0000 0.0000 8.8640
Ag 2.6699 2.6699 3.2129
Ag 2.6699 2.6699 8.0893

Record 4
10
Lattice="4.3876 0.0000 0.0000 0.0000 4.3876 0.0000 0.0000 0.0000 12.3710" Properties=species:S:1:pos:R:3 comment="Li4Ac2MgAg3 PBE-GGA relaxed" space_group=P-4m2 dos_at_fermi_per_ev_cell=6.0 final_energy_ev_per_cell=-27.46 pbc="T T T"
Li 0.0000 0.0000 0.0000
Li 0.0000 2.1938 4.4941
Li 2.1938 0.0000 7.8769
Li 2.1938 2.1938 0.0000
Ac 0.0000 2.1938 9.3400
Ac 2.1938 0.0000 3.0310
Mg 2.1938 2.1938 6.1855
Ag 0.0000 0.0000 6.1855
Ag 0.0000 2.1938 1.7417
Ag 2.1938 0.0000 10.6293

Record 5
18
Lattice="3.3435 1.9304 12.5297 -3.3435 1.9304 12.5297 0.0000 -3.8608 12.5297" Properties=species:S:1:pos:R:3 comment="LiAc2Mg12Ag3 PBE-GGA relaxed" space_group=R-3m dos_at_fermi_per_ev_cell=12.5 final_energy_ev_per_cell=-35.96 pbc="T T T"
Li 0.0000 0.0000 0.0000
Ac 0.0000 0.0000 13.5463
Ac 0.0000 0.0000 24.0427
Mg 0.0000 -1.9491 10.3663
Mg -1.6880 0.9746 10.3663
Mg -1.5207 -0.8780 16.9364
Mg -1.6880 -0.9746 27.2227
Mg 0.0000 -1.7560 20.6527
Mg -1.5207 0.8780 20.6527
Mg 1.5207 -0.8780 16.9364
Mg 0.0000 1.7560 16.9364
Mg 1.6880 0.9746 10.3663
Mg 1.5207 0.8780 20.6527
Mg 1.6880 -0.9746 27.2227
Mg 0.0000 1.9491 27.2227
Ag -3.3435 0.0000 18.7945
Ag -1.6718 0.9652 6.2648
Ag 1.6718 0.9652 6.2648

Record 6
10
Lattice="4.5362 0.0000 0.0000 0.0000 4.5362 0.0000 0.0000 0.0000 12.4717" Properties=species:S:1:pos:R:3 comment="LiAc2Mg4Ag3 PBE-GGA relaxed" space_group=P-4m2 dos_at_fermi_per_ev_cell=8.1 final_energy_ev_per_cell=-26.72 pbc="T T T"
Li 0.0000 0.0000 0.0000
Ac 0.0000 2.2681 9.2909
Ac 2.2681 0.0000 3.1808
Mg 0.0000 0.0000 6.2359
Mg 0.0000 2.2681 1.6171
Mg 2.2681 0.0000 10.8546
Mg 2.2681 2.2681 6.2359
Ag 0.0000 2.2681 4.4736
Ag 2.2681 0.0000 7.9981
Ag 2.2681 2.2681 0.0000

Record 7
10
Lattice="4.1826 0.0000 0.0000 0.0000 4.7035 0.0000 0.0000 0.0000 12.8510" Properties=species:S:1:pos:R:3 comment="Li2AcMgAg PBE-GGA relaxed" space_group=Imm2 dos_at_fermi_per_ev_cell=6.0 final_energy_ev_per_cell=-25.77 pbc="T T T"
Li 0.0000 0.0000 0.0000
Li 0.0000 2.3517 4.4802
Li 2.0913 0.0000 10.9057
Li 2.0913 2.3517 6.4255
Ac 0.0000 2.3517 9.3886
Ac 2.0913 0.0000 2.9631
Mg 0.0000 0.0000 6.2246
Mg 2.0913 2.3517 12.6501
Ag 0.0000 2.3517 1.7235
Ag 2.0913 0.0000 8.1490

Record 8
10
Lattice="4.2776 0.0000 0.0000 0.0000 4.2776 0.0000 0.0000 0.0000 13.3907" Properties=species:S:1:pos:R:3 comment="LiAcMgAg2 PBE-GGA relaxed" space_group=I-4m2 dos_at_fermi_per_ev_cell=5.8 final_energy_ev_per_cell=-29.07 pbc="T T T"
Li 0.0000 0.0000 0.0000
Li 2.1388 2.1388 6.6954
Ac 0.0000 2.1388 3.3477
Ac 2.1388 0.0000 10.0430
Mg 0.0000 0.0000 6.6954
Mg 2.1388 2.1388 0.0000
Ag 0.0000 2.1388 8.5700
Ag 0.0000 2.1388 11.5161
Ag 2.1388 0.0000 1.8746
Ag 2.1388 0.0000 4.8207

Record 9
10
Lattice="-3.6420 3.6420 5.1331 3.6420 -3.6420 5.1331 3.6420 3.6420 -5.1331" Properties=species:S:1:pos:R:3 comment="LiAc2Mg6Ag PBE-GGA relaxed" space_group=I4/mmm dos_at_fermi_per_ev_cell=4.3 final_energy_ev_per_cell=-22.68 pbc="T T T"
Li 0.0000 0.0000 0.0000
Ac 3.6420 0.0000 2.5665
Ac 0.0000 3.6420 2.5665
Mg 0.0000 0.0000 2.5265
Mg 1.7928 1.7928 0.0000
Mg 1.8491 -1.8491 5.1331
Mg -1.8491 1.8491 5.1331
Mg 0.0000 0.0000 7.7397
Mg 1.8491 1.8491 5.1331
Ag 0.0000 0.0000 5.1331

Record 10
10
Lattice="4.6002 0.0000 0.0000 0.0000 4.6002 0.0000 0.0000 0.0000 11.1525" Properties=species:S:1:pos:R:3 comment="Li3Ac2MgAg4 PBE-GGA relaxed" space_group=P-4m2 dos_at_fermi_per_ev_cell=6.5 final_energy_ev_per_cell=-29.02 pbc="T T T"
Li 0.0000 0.0000 0.0000
Li 0.0000 2.3001 6.8361
Li 2.3001 0.0000 4.3164
Ac 0.0000 2.3001 2.9161
Ac 2.3001 0.0000 8.2364
Mg 2.3001 2.3001 0.0000
Ag 0.0000 0.0000 5.5762
Ag 0.0000 2.3001 9.5114
Ag 2.3001 0.0000 1.6411
Ag 2.3001 2.3001 5.5762

Record 11
18
Lattice="-3.6584 4.6547 5.7294 3.6584 -4.6547 5.7294 3.6584 4.6547 -5.7294" Properties=species:S:1:pos:R:3 comment="LiAcMgAg6 PBE-GGA relaxed" space_group=Imma dos_at_fermi_per_ev_cell=6.7 final_energy_ev_per_cell=-49.26 pbc="T T T"
Li 0.0000 0.0000 0.0000
Li 0.0000 4.6547 0.0000
Ac 0.0000 2.3273 2.3654
Ac 3.6584 2.3273 3.3640
Mg 1.8292 2.3273 -2.8647
Mg 1.8292 -2.3273 2.8647
Ag 2.2380 -0.0128 1.4161
Ag 5.0788 -0.0128 1.4161
Ag 3.6584 -2.3273 4.8225
Ag 3.6584 2.3273 -0.0595
Ag 2.2380 4.6418 -1.4161
Ag 1.4204 -0.0128 4.3133
Ag 2.2380 4.6675 1.4161
Ag 1.4204 0.0128 7.1455
Ag 0.0000 2.3273 5.7889
Ag 0.0000 6.9820 0.9068
Ag -1.4204 4.6675 4.3133
Ag 1.4204 4.6675 4.3133

Record 12
12
Lattice="3.1815 -6.5603 0.0000 3.1815 6.5603 0.0000 0.0000 0.0000 6.6018" Properties=species:S:1:pos:R:3 comment="LiAcMgAg3 PBE-GGA relaxed" space_group=Cmcm dos_at_fermi_per_ev_cell=4.4 final_energy_ev_per_cell=-33.77 pbc="T T T"
Li 3.1815 5.7141 4.9514
Li 3.1815 -5.7141 1.6505
Ac 3.1815 2.6115 4.9514
Ac 3.1815 -2.6115 1.6505
Mg 3.1815 1.7594 1.6505
Mg 3.1815 -1.7594 4.9514
Ag 3.1815 4.6160 1.6505
Ag 1.7202 0.0000 0.0000
Ag 1.7202 0.0000 3.3009
Ag 4.6427 0.0000 0.0000
Ag 4.6427 0.0000 3.3009
Ag 3.1815 -4.6160 4.9514

Record 13
12
Lattice="6.4175 0.0000 0.0000 -3.2088 5.5577 0.0000 0.0000 0.0000 8.9519" Properties=species:S:1:pos:R:3 comment="Li2Ac3MgAg6 PBE-GGA relaxed" space_group=P-3m1 dos_at_fermi_per_ev_cell=9.3 final_energy_ev_per_cell=-36.39 pbc="T T T"
Li 0.0000 3.7052 0.1371
Li 3.2088 1.8526 8.8148
Ac 0.0000 0.0000 0.0000
Ac 0.0000 3.7052 5.4995
Ac 3.2088 1.8526 3.4524
Mg 0.0000 0.0000 4.4759
Ag 0.0000 2.0541 2.4415
Ag -1.4299 4.5307 2.4415
Ag 1.7789 1.0271 6.5104
Ag 1.4299 4.5307 2.4415
Ag 4.6386 1.0271 6.5104
Ag 3.2088 3.5036 6.5104

Record 14
8
Lattice="2.3962 1.3835 9.9160 -2.3962 1.3835 9.9160 0.0000 -2.7669 9.9160" Properties=species:S:1:pos:R:3 comment="Li2AcMg4Ag PBE-GGA relaxed" space_group=R-3m dos_at_fermi_per_ev_cell=6.6 final_energy_ev_per_cell=-17.61 pbc="T T T"
Li 0.0000 0.0000 6.9954
Li 0.0000 0.0000 22.7526
Ac 0.0000 0.0000 0.0000
Mg 0.0000 0.0000 3.9830
Mg 0.0000 0.0000 12.1194
Mg 0.0000 0.0000 17.6287
Mg 0.0000 0.0000 25.7651
Ag 0.0000 0.0000 14.8740

Record 15
10
Lattice="7.8229 0.0000 0.0000 0.0000 3.8899 0.0000 -3.3425 0.0000 8.2224" Properties=species:S:1:pos:R:3 comment="LiAc2AgN PBE-GGA relaxed" space_group=P2_1/m dos_at_fermi_per_ev_cell=8.9 formation_energy_uncorrected_ev_per_atom=-0.511 pbc="T T T"
Li -0.2147 0.9725 1.7275
Li 4.6951 2.9174 6.4949
Ac 0.5501 2.9174 4.2892
Ac 2.2152 2.9174 0.9676
Ac 2.2652 0.9725 7.2548
Ac 3.9303 0.9725 3.9332
Ag -1.2509 0.9725 6.4375
Ag 5.7313 2.9174 1.7849
N 1.6574 0.9725 2.6244
N 2.8230 2.9174 5.5980

Record 16
11
Lattice="2.8968 1.6725 5.1576 -2.8968 1.6725 5.1576 0.0000 -3.3450 5.1576" Properties=species:S:1:pos:R:3 comment="Li2Ac2AgO6 PBE-GGA relaxed" space_group=R-3m dos_at_fermi_per_ev_cell=3.5 formation_energy_uncorrected_ev_per_atom=-1.847 pbc="T T T"
Li 0.0000 0.0000 1.1437
Li 0.0000 0.0000 14.3291
Ac 0.0000 0.0000 4.3246
Ac 0.0000 0.0000 11.1482
Ag 0.0000 0.0000 7.7364
O 0.0000 -1.5596 6.3114
O -1.3506 0.7798 6.3114
O -1.3506 -0.7798 9.1614
O 1.3506 0.7798 6.3114
O 1.3506 -0.7798 9.1614
O 0.0000 1.5596 9.1614

Record 17
18
Lattice="7.1820 0.0000 0.0000 0.0000 7.1820 0.0000 0.0000 0.0000 5.9879" Properties=species:S:1:pos:R:3 comment="LiAc2AgO5 PBE-GGA relaxed" space_group=P4/mbm formation_energy_uncorrected_ev_per_atom=-2.017 pbc="T T T"
Li 0.0000 0.0000 0.0000
Li 3.5910 3.5910 0.0000
Ac 1.2957 2.2953 2.9940
Ac 2.2953 5.8863 2.9940
Ac 4.8867 1.2957 2.9940
Ac 5.8863 4.8867 2.9940
Ag 0.0000 3.5910 0.0000
Ag 3.5910 0.0000 0.0000
O 0.0000 0.0000 2.9940
O 0.9642 4.5552 1.4747
O 0.9642 4.5552 4.5132
O 2.6268 0.9642 1.4747
O 2.6268 0.9642 4.5132
O 3.5910 3.5910 2.9940
O 4.5552 6.2178 1.4747
O 4.5552 6.2178 4.5132
O 6.2178 2.6268 1.4747
O 6.2178 2.6268 4.5132

Record 18
20
Lattice="5.7809 0.0000 0.0000 0.0000 5.7187 0.0000 -5.7707 0.0000 8.0883" Properties=species:S:1:pos:R:3 comment="LiAc2AgO6 PBE-GGA relaxed" space_group=P2_1/c formation_energy_uncorrected_ev_per_atom=-1.950 pbc="T T T"
Li 0.0000 0.0000 0.0000
Li -2.8854 2.8593 4.0442
Ac -2.8540 0.1731 6.0606
Ac 0.0314 2.6862 2.0164
Ac -0.0212 3.0325 6.0719
Ac 2.8642 5.5455 2.0277
Ag 0.0051 0.0000 4.0442
Ag 2.8905 2.8593 0.0000
O -0.3870 0.0497 2.0466
O -3.2724 2.8096 6.0908
O 1.3122 4.1117 0.3031
O -1.5731 4.4663 4.3473
O 1.6370 1.2789 0.2930
O -1.2483 1.5804 4.3372
O 1.2585 4.1383 3.7511
O -1.6268 4.4397 7.7953
O 1.5833 1.2524 3.7411
O -1.3020 1.6069 7.7852
O 3.2826 2.9090 1.9975
O 0.3972 5.6690 6.0417

Record 19
10
Lattice="4.1808 0.0000 0.0000 0.0000 4.1808 0.0000 0.0000 0.0000 11.5147" Properties=species:S:1:pos:R:3 comment="LiAcAgP2 PBE-GGA relaxed" space_group=I-4m2 dos_at_fermi_per_ev_cell=5.1 final_energy_ev_per_cell=-46.75 pbc="T T T"
Li 0.0000 0.0000 0.0000
Li 2.0904 2.0904 5.7573
Ac 0.0000 2.0904 8.6360
Ac 2.0904 0.0000 2.8787
Ag 0.0000 0.0000 5.7573
Ag 2.0904 2.0904 0.0000
P 0.0000 2.0904 1.5661
P 0.0000 2.0904 4.1912
P 2.0904 0.0000 7.3235
P 2.0904 0.0000 9.9485

Record 20
10
Lattice="4.7087 0.0000 0.0000 0.0000 4.7087 0.0000 0.0000 0.0000 12.4170" Properties=species:S:1:pos:R:3 comment="LiAcAgPb2 PBE-GGA relaxed" space_group=I-4m2 dos_at_fermi_per_ev_cell=3.7 final_energy_ev_per_cell=-36.03 pbc="T T T"
Li 0.0000 0.0000 0.0000
Li 2.3544 2.3544 6.2085
Ac 0.0000 2.3544 9.3128
Ac 2.3544 0.0000 3.1043
Ag 0.0000 0.0000 6.2085
Ag 2.3544 2.3544 0.0000
Pb 0.0000 2.3544 1.5979
Pb 0.0000 2.3544 4.6106
Pb 2.3544 0.0000 7.8064
Pb 2.3544 0.0000 10.8191

So what do the calculations give for M_tot? Going down the list: 0.000; 0.000; 0.000; 0.000; 0.000; 0.000; 0.000; 0.000; 0.000; 0.000; 0.000; 0.000; 0.000; 0.000; 0.001; 0.000; 0.000; 0.000; 0.000; 0.000 μB per atom.